[1]
Ni2BiRu: relaxed, PBE.

POSCAR file:
```
Ni2BiRu
1.0
3.858 0.000 0.000
0.000 3.858 0.000
1.929 1.929 8.994
Ru Bi Ni
2 2 4
direct
0.500 0.500 0.000
0.250 0.750 0.500
0.000 0.000 0.000
0.750 0.250 0.500
0.574 0.125 0.250
0.176 0.625 0.250
0.375 0.426 0.750
0.875 0.824 0.750
```

## Properties
Raw total energy: -5.56 eV per atom
Energy of formation: 0.623 eV/atom
Size of the total moment: 0.000 μB per formula unit

[2]
CdIn2Ir: relaxed, PBE.

POSCAR file:
```
CdIn2Ir
1.0
-1.889 1.743 6.634
-1.084 -1.096 6.946
3.748 1.316 2.304
Ir In Cd
1 2 1
direct
0.496 0.496 0.504
0.005 0.005 0.995
0.813 0.813 0.687
0.186 0.186 0.314
```

## Properties
Raw total energy: -3.87 eV per atom
Energy of formation: -0.054 eV/atom
Size of the total moment: 0.000 μB per formula unit

[3]
PmPa3: relaxed, PBE.

POSCAR file:
```
PmPa3
1.0
-1.854 0.747 -2.487
-4.158 -3.067 2.181
-1.965 4.714 2.881
Pa Pm
3 1
direct
0.000 0.000 0.027
0.500 0.000 0.544
0.500 0.500 0.800
0.000 0.500 0.295
```

## Properties
Raw total energy: -8.09 eV per atom
Energy of formation: 0.222 eV/atom
Size of the total moment: 0.000 μB per formula unit

[4]
HfS: relaxed, PBE.

POSCAR file:
```
HfS
1.0
-2.242 1.904 2.731
-3.938 0.475 -0.614
-2.640 -2.057 2.217
S Hf
1 1
direct
0.250 0.250 0.250
0.000 0.000 0.000
```

## Properties
Energy relative to the elements, uncorrected: -0.75 eV/atom
Raw total energy: -7.79 eV per atom
Size of the total moment: 0.000 μB per formula unit

[5]
Mg3ZrSb: relaxed, PBE.

POSCAR file:
```
Mg3ZrSb
1.0
5.273 0.000 0.000
0.000 5.273 0.000
0.000 0.000 5.273
Sb Mg Zr
1 3 1
direct
0.000 0.000 0.000
0.000 0.500 0.000
0.000 0.000 0.500
0.500 0.000 0.000
0.500 0.500 0.500
```

## Properties
Energy relative to the elements, uncorrected: 0.72 eV/atom
Raw total energy: -2.77 eV per atom
Size of the total moment: 0.056 μB per formula unit

[6]
PmHoPtPb: relaxed, PBE.

POSCAR file:
```
PmHoPtPb
1.0
-4.227 -3.010 0.755
-2.440 -2.170 -4.103
0.293 -5.176 -0.787
Pb Ho Pt Pm
1 1 1 1
direct
0.750 0.750 0.750
0.500 0.500 0.500
0.250 0.250 0.250
0.000 0.000 0.000
```

## Properties
Raw total energy: -5.48 eV per atom
Energy of formation: -0.710 eV/atom
Size of the total moment: 0.000 μB per formula unit